Record 1
This record from the Alexandria database describes Y4ZnP after structural relaxation. The functional is PBE.

Lattice parameters (Å, degrees): 6.1701 6.1701 6.1701 60.00 60.00 60.00
Positions (direct):
Y  0.1250  0.1250  0.1250
Y  0.1250  0.1250  0.6250
Y  0.1250  0.6250  0.1250
Y  0.6250  0.1250  0.1250
Zn  0.7500  0.7500  0.7500
P  0.5000  0.5000  0.5000

Computed properties:
DFT total energy: -0.3615 Ry per atom
Space-group type: F-43m
Crystal system: cubic
Magnetization: 0.002 μB/cell
DFT formation energy: 0.50 eV/atom

Record 2
This record from the Alexandria database describes K2BiPt2 after structural relaxation. The functional is PBE.

Lattice parameters (Å, degrees): 6.0522 6.0522 8.4592 98.72 98.72 66.67
Positions (direct):
K  0.0175  0.2635  0.1421
K  0.2635  0.0175  0.6421
K  0.7365  0.9825  0.3579
K  0.9825  0.7365  0.8579
Bi  0.4047  0.5953  0.2500
Bi  0.5953  0.4047  0.7500
Pt  0.2212  0.4997  0.5041
Pt  0.4997  0.2212  0.0041
Pt  0.5003  0.7788  0.9959
Pt  0.7788  0.5003  0.4959

Computed properties:
Distance to the lowest polymorph of the same formula: 0.0 kJ per mole of atoms
DFT total energy: -0.2877 Ry per atom
Space-group type: C2/c
Crystal system: monoclinic
Magnetization: 0.000 μB/cell
DFT formation energy: -0.28 eV/atom

Record 3
This record from the Alexandria database describes Pm3Er2In6 after structural relaxation. The functional is PBE.

Lattice parameters (Å, degrees): 14.9177 14.9177 14.9177 161.76 161.76 25.91
Positions (direct):
Pm  0.0000  0.0000  0.0000
Pm  0.2019  0.2019  0.0000
Pm  0.7981  0.7981  0.0000
Er  0.4466  0.4466  0.0000
Er  0.5534  0.5534  0.0000
In  0.1183  0.6183  0.5000
In  0.3110  0.3110  0.0000
In  0.3817  0.8817  0.5000
In  0.6183  0.1183  0.5000
In  0.6890  0.6890  0.0000
In  0.8817  0.3817  0.5000

Computed properties:
DFT total energy: -0.2807 Ry per atom
Space-group type: I4/mmm
Crystal system: tetragonal
Magnetization: 0.000 μB/cell
DFT formation energy: -0.20 eV/atom

Please write out number 1 again, unchanged.
This record from the Alexandria database describes Y4ZnP after structural relaxation. The functional is PBE.

Lattice parameters (Å, degrees): 6.1701 6.1701 6.1701 60.00 60.00 60.00
Positions (direct):
Y  0.1250  0.1250  0.1250
Y  0.1250  0.1250  0.6250
Y  0.1250  0.6250  0.1250
Y  0.6250  0.1250  0.1250
Zn  0.7500  0.7500  0.7500
P  0.5000  0.5000  0.5000

Computed properties:
DFT total energy: -0.3615 Ry per atom
Space-group type: F-43m
Crystal system: cubic
Magnetization: 0.002 μB/cell
DFT formation energy: 0.50 eV/atom

Look up the magnetization of the second one. 0.000 μB/cell